No. 1
Below is crystalline Pd3Pt at its relaxed geometry, with properties calculated at the PBE level. Values from VASP.

Structure (Quantum ESPRESSO input):
```
&SYSTEM
  ibrav = 0, nat = 4, ntyp = 2
/
ATOMIC_SPECIES
Pd 106.42 Pd.upf
Pt 195.08 Pt.upf
ATOMIC_POSITIONS crystal
Pd 0.000 0.000 0.000
Pd 0.000 0.500 0.332
Pd 0.500 0.000 0.503
Pt 0.500 0.500 0.832
CELL_PARAMETERS angstrom
2.767 0.000 0.000
0.000 4.647 0.000
0.000 0.000 4.820
```

Results
The calculation puts the total energy at -5.386 eV per atom. The space group is Pmm2.

No. 2
Below is crystalline Pd4Pt5 at its relaxed geometry, with properties calculated at the PBE level. Values from VASP.

Structure (Quantum ESPRESSO input):
```
&SYSTEM
  ibrav = 0, nat = 9, ntyp = 2
/
ATOMIC_SPECIES
Pd 106.42 Pd.upf
Pt 195.08 Pt.upf
ATOMIC_POSITIONS crystal
Pd 0.001 0.666 0.666
Pd 0.334 0.001 0.335
Pd 0.666 0.999 0.665
Pd 0.999 0.334 0.334
Pt 0.000 0.000 0.000
Pt 0.332 0.667 0.999
Pt 0.333 0.332 0.665
Pt 0.667 0.668 0.335
Pt 0.668 0.333 0.001
CELL_PARAMETERS angstrom
-5.046 5.046 1.383
5.046 -5.046 1.383
5.046 5.046 -1.383
```

Results
The energy above the most stable polymorph in this dataset comes out at 34 meV/atom. The space group is I4/m.

No. 3
Below is crystalline PdPt2 at its relaxed geometry, with properties calculated at the PBE level. Values from VASP.

Structure (Quantum ESPRESSO input):
```
&SYSTEM
  ibrav = 0, nat = 3, ntyp = 2
/
ATOMIC_SPECIES
Pd 106.42 Pd.upf
Pt 195.08 Pt.upf
ATOMIC_POSITIONS crystal
Pd 0.000 0.000 0.000
Pt 0.333 0.667 0.500
Pt 0.667 0.333 0.500
CELL_PARAMETERS angstrom
4.510 0.000 0.000
-2.255 3.906 0.000
0.000 0.000 2.715
```

Results
The energy above the most stable polymorph in this dataset comes out at 91 meV/atom. The space group is P6/mmm.